DFT (PBE) results for crystalline ZnRh2W at its relaxed geometry.

Geometry as POSCAR:
```
ZnRh2W
1.0
1.474 -2.275 0.000
1.474 2.275 0.000
0.000 0.000 8.898
Zn Rh W
1 2 1
direct
0.000 0.000 0.000
0.000 0.000 0.506
0.500 0.500 0.767
0.500 0.500 0.263
```

## Properties
Total DFT energy (no corrections) ... -0.2619 hartree per atom
Space group ... Cmm2 (35)
Calculated formation energy ... 0.107 eV per atom

***

DFT (PBE) results for crystalline Zn3RhW at its relaxed geometry.

Geometry as POSCAR:
```
Zn3RhW
1.0
4.558 0.000 0.000
0.000 4.558 0.000
0.000 0.000 4.558
Zn Rh W
3 1 1
direct
0.000 0.000 0.500
0.000 0.500 0.000
0.500 0.000 0.000
0.000 0.000 0.000
0.500 0.500 0.500
```

## Properties
Total DFT energy (no corrections) ... -0.1320 hartree per atom
Space group ... Pm-3m (221)
Calculated formation energy ... 1.232 eV per atom

***

DFT (PBE) results for crystalline ZnRh2W at its relaxed geometry.

Geometry as POSCAR:
```
ZnRh2W
1.0
-1.982 1.982 3.671
1.982 -1.982 3.671
1.982 1.982 -3.671
Zn Rh W
1 2 1
direct
0.000 0.000 0.000
0.250 0.750 0.500
0.750 0.250 0.500
0.500 0.500 0.000
```

## Properties
Total DFT energy (no corrections) ... -0.2738 hartree per atom
Space group ... I4/mmm (139)
Calculated formation energy ... -0.219 eV per atom

***

DFT (PBE) results for crystalline ZnRhW2 at its relaxed geometry.

Geometry as POSCAR:
```
ZnRhW2
1.0
2.749 0.000 0.000
0.000 3.933 0.000
0.000 0.000 5.605
Zn Rh W
1 1 2
direct
0.000 0.000 0.000
0.500 0.500 0.222
0.000 0.000 0.489
0.500 0.500 0.749
```

## Properties
Total DFT energy (no corrections) ... -0.3146 hartree per atom
Space group ... Pmm2 (25)
Calculated formation energy ... 0.072 eV per atom

***

DFT (PBE) results for crystalline ZnRh2W at its relaxed geometry.

Geometry as POSCAR:
```
ZnRh2W
1.0
1.407 0.812 8.594
-1.407 0.812 8.594
0.000 -1.624 8.594
Zn Rh W
1 2 1
direct
0.000 0.000 0.000
0.250 0.250 0.250
0.750 0.750 0.750
0.500 0.500 0.500
```

## Properties
Total DFT energy (no corrections) ... -0.2727 hartree per atom
Space group ... R-3m (166)
Calculated formation energy ... -0.189 eV per atom

***

DFT (PBE) results for crystalline ZnRh2W at its relaxed geometry.

Geometry as POSCAR:
```
ZnRh2W
1.0
4.571 0.000 0.000
0.000 4.571 0.000
0.000 0.000 2.828
Zn Rh W
1 2 1
direct
0.000 0.000 0.000
0.000 0.500 0.500
0.500 0.000 0.500
0.500 0.500 0.000
```

## Properties
Total DFT energy (no corrections) ... -0.2683 hartree per atom
Space group ... P4/mmm (123)
Calculated formation energy ... -0.069 eV per atom

***

Q: What is the calculated formation energy in the sixth record?
A: -0.069 eV per atom